# 1
Compound: LiPuPd
Source: Alexandria via LeMat-Bulk
Functional: PBE-GGA
Structure: relaxed

Properties
As for the calculated total energy: -7.453 eV/atom. As for the energy above the most stable polymorph in this dataset: 0.0 meV per atom. As for the formation energy: -0.306 eV/atom.

Lattice parameters (Å, degrees): 3.9885 3.9885 7.7670 90.00 90.00 90.00
With the nearest neighbours (Å) after each atom.
Space group P4/nmm (No. 129, origin choice 2)
Inequivalent atoms, fractional coordinates:
Li  0.2500  0.7500  0.0000 [2 per cell]  4 Pd 2.78, 4 Li 2.82
Pu  0.2500  0.2500  0.3538 [2 per cell]  5 Pd 2.93-3.08
Pd  0.2500  0.2500  0.7500 [2 per cell]  4 Li 2.78, 5 Pu 2.93-3.08

# 2
Compound: LiPu2Pd
Source: Alexandria via LeMat-Bulk
Functional: PBE-GGA
Structure: relaxed

Properties
As for the calculated total energy: -8.956 eV/atom. As for the energy above the most stable polymorph in this dataset: 0.0 meV per atom. As for the formation energy: -0.014 eV/atom.

Lattice parameters (Å, degrees): 3.8135 3.8135 6.1491 90.00 90.00 90.00
With the nearest neighbours (Å) after each atom.
Space group P4/mmm (No. 123)
Inequivalent atoms, fractional coordinates:
Li  0.0000  0.0000  0.0000 [1 per cell]  2 Pd 3.07, 8 Pu 3.15
Pu  0.5000  0.5000  0.2638 [2 per cell]  2 Pu 2.90-3.24, 4 Pd 3.06, 4 Li 3.15
Pd  0.0000  0.0000  0.5000 [1 per cell]  8 Pu 3.06, 2 Li 3.07

# 3
Compound: Li2PuPd8
Source: Alexandria via LeMat-Bulk
Functional: PBE-GGA
Structure: relaxed

Properties
As for the calculated total energy: -5.800 eV/atom. As for the energy above the most stable polymorph in this dataset: 0.0 meV per atom. As for the formation energy: -0.372 eV/atom.

Lattice parameters (Å, degrees): 14.1501 4.1151 6.2634 90.00 106.45 90.00
With the nearest neighbours (Å) after each atom.
Space group C2/m (No. 12)
Inequivalent atoms, fractional coordinates:
Li  0.2269  0.0000  0.1466 [4 per cell]  10 Pd 2.65-2.85, 2 Li 2.95
Pu  0.0000  0.5000  0.5000 [2 per cell]  12 Pd 2.78-2.91
Pd  0.0473  0.0000  0.2256 [4 per cell]  1 Li 2.72, 9 Pd 2.76-2.90, 2 Pu 2.88
Pd  0.0956  0.5000  0.9653 [4 per cell]  8 Pd 2.77-2.89, 3 Li 2.79, 1 Pu 2.84
Pd  0.1430  0.0000  0.7001 [4 per cell]  3 Li 2.71-2.75, 7 Pd 2.76-2.90, 2 Pu 2.91
Pd  0.1838  0.5000  0.4207 [4 per cell]  3 Li 2.65-2.85, 8 Pd 2.76-2.86, 1 Pu 2.78

# 4
Compound: Li2PuPd5
Source: Alexandria via LeMat-Bulk
Functional: PBE-GGA
Structure: relaxed

Properties
As for the calculated total energy: -5.919 eV/atom. As for the formation energy: -0.404 eV/atom.

Lattice parameters (Å, degrees): 6.7284 6.7284 5.8280 90.00 90.00 90.00
With the nearest neighbours (Å) after each atom.
Space group I4/mmm (No. 139)
Inequivalent atoms, fractional coordinates:
Li  0.0000  0.5000  0.0000 [4 per cell]  8 Pd 2.79, 2 Li 2.91
Pu  0.0000  0.0000  0.0000 [2 per cell]  10 Pd 2.79-2.91
Pd  0.0000  0.0000  0.5000 [2 per cell]  8 Pd 2.79, 2 Pu 2.91
Pd  0.2500  0.2500  0.2500 [8 per cell]  2 Pu 2.79, 4 Pd 2.79-2.91, 4 Li 2.79

One value per record, in order, for total magnetization: 11.2; 12.3; 8.1; 8.9 μB/cell.